[1]
CsLaSe2 | PBE | optimized geometry

For the total magnetization, the calculation gives 0.00 Bohr magnetons per cell. Its raw total energy is -4.9451 eV/atom. Its raw formation energy is -1.758 eV/atom.

The space group is Pmmn (No. 59, origin choice 2) and the conventional cell measures 4.388, 7.808 and 8.572 Å, with angles of 90.00, 90.00 and 90.00 degrees. The asymmetric unit holds Cs at (0.250, 0.250, 0.075), La at (0.250, 0.750, 0.436) and Se at (0.250, 0.014, 0.692).

---

[2]
U2Sb | PBE | optimized geometry

For the total magnetization, the calculation gives 0.01 Bohr magnetons per cell. Its raw total energy is -9.1810 eV/atom. Its raw formation energy is -0.281 eV/atom.

The space group is C2/m (No. 12) and the conventional cell measures 10.042, 3.750 and 3.752 Å, with angles of 90.00, 103.32 and 90.00 degrees. The asymmetric unit holds U at (0.186, 0.000, 0.113) and Sb at (0.000, 0.500, 0.500).

---

[3]
AlTcOs | PBE | optimized geometry

For the total magnetization, the calculation gives 0.00 Bohr magnetons per cell. Its raw total energy is -8.4549 eV/atom. The value obtained for the formation enthalpy at 0 K is -9 meV/atom. The energy above the lowest structure with this stoichiometry is 319.8 meV/atom.

The space group is F-43m (No. 216) and the conventional cell measures 5.875, 5.875 and 5.875 Å, with angles of 90.00, 90.00 and 90.00 degrees. The asymmetric unit holds Al at (0.000, 0.000, 0.000), Tc at (0.000, 0.000, 0.500) and Os at (0.250, 0.250, 0.750).

---

[4]
BaSb2OsI | PBE | optimized geometry

For the total magnetization, the calculation gives 6.51 Bohr magnetons per cell. Its raw total energy is -2.7755 eV/atom. Its raw formation energy is 1.814 eV/atom. The energy above the lowest structure with this stoichiometry is 1883.4 meV/atom.

The space group is P4/mmm (No. 123) and the conventional cell measures 6.547, 6.547 and 6.509 Å, with angles of 90.00, 90.00 and 90.00 degrees. The asymmetric unit holds Ba at (0.000, 0.000, 0.000), Sb at (0.000, 0.500, 0.000), Os at (0.500, 0.500, 0.500) and I at (0.000, 0.000, 0.500).

---

[5]
KMg2Mn | PBE | optimized geometry

For the total magnetization, the calculation gives 7.55 Bohr magnetons per cell. Its raw total energy is -2.7406 eV/atom. The value obtained for the formation enthalpy at 0 K is 623 meV/atom. The energy above the lowest structure with this stoichiometry is 272.5 meV/atom.

The space group is Cmmm (No. 65) and the conventional cell measures 7.636, 8.052 and 3.379 Å, with angles of 90.00, 90.00 and 90.00 degrees. The asymmetric unit holds K at (0.000, 0.000, 0.000), Mg at (0.250, 0.250, 0.500) and Mn at (0.000, 0.500, 0.000).

---

[6]
NaSi3W | PBE | optimized geometry

For the total magnetization, the calculation gives 0.00 Bohr magnetons per cell. Its raw total energy is -3.8512 eV/atom. Its raw formation energy is 2.257 eV/atom. The energy above the lowest structure with this stoichiometry is 1934.4 meV/atom.

The space group is Pm-3m (No. 221) and the conventional cell measures 4.581, 4.581 and 4.581 Å, with angles of 90.00, 90.00 and 90.00 degrees. The asymmetric unit holds Na at (0.000, 0.000, 0.000), Si at (0.000, 0.000, 0.500) and W at (0.500, 0.500, 0.500).

---

[7]
BaCuRhCl6 | PBE | optimized geometry

For the total magnetization, the calculation gives 0.08 Bohr magnetons per cell. Its raw total energy is -3.8515 eV/atom. Its raw formation energy is -1.135 eV/atom.

The space group is P312 (No. 149) and the conventional cell measures 6.5463, 6.5463 and 6.5248 Å, with angles of 90.00, 90.00 and 120.00 degrees. The asymmetric unit holds Ba at (0.0000, 0.0000, 0.0000), Cu at (0.3333, 0.6667, 0.5000), Rh at (0.6667, 0.3333, 0.5000) and Cl at (0.3832, 0.0184, 0.7054).

---

[8]
Er2B10Ir | PBE | optimized geometry

For the total magnetization, the calculation gives 0.00 Bohr magnetons per cell. Its raw total energy is -7.0316 eV/atom. The value obtained for the formation enthalpy at 0 K is -511 meV/atom.

The space group is Pbam (No. 55) and the conventional cell measures 5.677, 11.298 and 4.161 Å, with angles of 90.00, 90.00 and 90.00 degrees. The asymmetric unit holds Er at (0.204, 0.134, 0.000), B at (0.057, 0.306, 0.500), B at (0.118, 0.958, 0.500), B at (0.136, 0.803, 0.500), B at (0.221, 0.380, 0.198) and Ir at (0.000, 0.500, 0.500).

---

[9]
Nd6BiRu2 | PBE | optimized geometry

For the total magnetization, the calculation gives 0.00 Bohr magnetons per cell. Its raw total energy is -5.9925 eV/atom. The value obtained for the formation enthalpy at 0 K is -321 meV/atom.

The space group is C2/c (No. 15) and the conventional cell measures 16.305, 10.528 and 6.459 Å, with angles of 90.00, 102.83 and 90.00 degrees. The asymmetric unit holds Nd at (0.109, 0.076, 0.162), Nd at (0.114, 0.431, 0.188), Nd at (0.194, 0.248, 0.717), Bi at (0.000, 0.277, 0.750) and Ru at (0.246, 0.003, 0.989).

---

[10]
Pm2In3Sn2 | PBE | optimized geometry

For the total magnetization, the calculation gives 0.00 Bohr magnetons per cell. Its raw total energy is -4.0571 eV/atom. The value obtained for the formation enthalpy at 0 K is -382 meV/atom.

The space group is Cmmm (No. 65) and the conventional cell measures 4.435, 21.325 and 4.222 Å, with angles of 90.00, 90.00 and 90.00 degrees. The asymmetric unit holds Pm at (0.000, 0.161, 0.000), In at (0.000, 0.000, 0.000), In at (0.000, 0.431, 0.500) and Sn at (0.000, 0.295, 0.500).

---

[11]
InRhSe2 | PBE | optimized geometry

For the total magnetization, the calculation gives 0.00 Bohr magnetons per cell. Its raw total energy is -4.1280 eV/atom. Its raw formation energy is 0.137 eV/atom.

The space group is R-3m (No. 166, hexagonal axes) and the conventional cell measures 3.8516, 3.8516 and 23.8332 Å, with angles of 90.00, 90.00 and 120.00 degrees. The asymmetric unit holds In at (0.0000, 0.0000, 0.0000), Rh at (0.0000, 0.0000, 0.5000) and Se at (0.0000, 0.0000, 0.4011).

---

[12]
ReSn2PO | PBE | optimized geometry

For the total magnetization, the calculation gives 0.00 Bohr magnetons per cell. Its raw total energy is -6.1154 eV/atom. Its raw formation energy is 0.049 eV/atom.

The space group is P4/mmm (No. 123) and the conventional cell measures 5.351, 5.351 and 3.727 Å, with angles of 90.00, 90.00 and 90.00 degrees. The asymmetric unit holds Re at (0.000, 0.000, 0.000), Sn at (0.000, 0.500, 0.000), P at (0.500, 0.500, 0.500) and O at (0.000, 0.000, 0.500).